Entry from Alexandria via LeMat-Bulk: crystalline AlSeO at its relaxed geometry (PBE).

Cell: 3.015 5.879 5.051 Å, 90.00 90.00 90.00°
Fractional coordinates of all 6 atoms:
Al 0.000 0.127 0.000
Al 0.500 0.873 0.500
Se 0.000 0.525 0.387
Se 0.500 0.475 0.887
O 0.000 0.978 0.680
O 0.500 0.022 0.180

Summary:
Symmetry   No. 31
Formation energy without anion corrections   -1.64 eV per atom
Electronic total energy   -5.70 eV/atom
Magnetic moment   0.00 μB per formula unit
Energy above the lowest structure with this stoichiometry   119 meV per atom